# 1
First-principles (GGA-PBE) data for a geometry-optimized Ga2HgAu2 structure, as listed in the Alexandria database.

Calculated values
SG ... No. 127
Density of states at the Fermi level ... 4.02 states/eV per cell

a b c (Å): 8.4353 8.4353 2.7946
angles (deg): 90.00 90.00 90.00
With the nearest neighbours (Å) after each atom.
Fractional coordinates of all 10 atoms:
Au  0.1638  0.6639  0.5000  2 Au 2.79, 6 Ga 2.81-2.87
Ga  0.6318  0.1318  0.0000  2 Ga 2.79, 6 Au 2.81-2.87
Ga  0.1318  0.3682  0.0000  2 Ga 2.79, 6 Au 2.81-2.87
Au  0.8362  0.3362  0.5000  2 Au 2.79, 6 Ga 2.81-2.87
Au  0.6639  0.8362  0.5000  2 Au 2.79, 6 Ga 2.81-2.87
Ga  0.8682  0.6318  0.0000  2 Ga 2.79, 6 Au 2.81-2.87
Au  0.3362  0.1638  0.5000  2 Au 2.79, 6 Ga 2.81-2.87
Ga  0.3682  0.8682  0.0000  2 Ga 2.79, 6 Au 2.81-2.87
Hg  0.5000  0.5000  0.0000  2 Hg 2.79
Hg  0.0000  0.0000  0.0000  2 Hg 2.79

***

# 2
First-principles (GGA-PBE) data for a geometry-optimized GaHgAu2 structure, as listed in the Alexandria database.

Calculated values
SG ... No. 123
Density of states at the Fermi level ... 1.44 states/eV per cell

a b c (Å): 3.4695 3.4695 6.3529
angles (deg): 90.00 90.00 90.00
With the nearest neighbours (Å) after each atom.
Fractional coordinates of all 4 atoms:
Au  0.0000  0.0000  0.7700  4 Ga 2.86, 1 Au 2.92, 4 Hg 2.99
Ga  0.5000  0.5000  0.0000  8 Au 2.86, 2 Hg 3.18
Hg  0.5000  0.5000  0.5000  8 Au 2.99, 2 Ga 3.18
Au  0.0000  0.0000  0.2300  4 Ga 2.86, 1 Au 2.92, 4 Hg 2.99

***

# 3
First-principles (GGA-PBE) data for a geometry-optimized Ga6HgAu12 structure, as listed in the Alexandria database.

Calculated values
SG ... No. 166
Density of states at the Fermi level ... 5.43 states/eV per cell

a b c (Å): 7.2874 7.2874 7.2874
angles (deg): 89.85 89.85 89.85
With the nearest neighbours (Å) after each atom.
Fractional coordinates of all 19 atoms:
Au  0.2004  0.4765  0.4765  2 Ga 2.65, 5 Au 2.84-2.96
Ga  0.1759  0.6817  0.1759  6 Au 2.65-2.72, 1 Hg 2.94, 2 Ga 2.95
Hg  0.0000  0.0000  0.0000  6 Ga 2.94
Au  0.5235  0.7996  0.5235  2 Ga 2.65, 5 Au 2.84-2.96
Au  0.5235  0.5235  0.7996  2 Ga 2.65, 5 Au 2.84-2.96
Au  0.8629  0.1371  0.5000  4 Ga 2.66-2.72, 3 Au 2.82-2.86
Au  0.7996  0.5235  0.5235  2 Ga 2.65, 5 Au 2.84-2.96
Au  0.1371  0.8629  0.5000  4 Ga 2.66-2.72, 3 Au 2.82-2.86
Au  0.8629  0.5000  0.1371  4 Ga 2.66-2.72, 3 Au 2.82-2.86
Ga  0.1759  0.1759  0.6817  6 Au 2.65-2.72, 1 Hg 2.94, 2 Ga 2.95
Ga  0.3183  0.8241  0.8241  6 Au 2.65-2.72, 1 Hg 2.94, 2 Ga 2.95
Au  0.1371  0.5000  0.8629  4 Ga 2.66-2.72, 3 Au 2.82-2.86
Ga  0.8241  0.3183  0.8241  6 Au 2.65-2.72, 1 Hg 2.94, 2 Ga 2.95
Ga  0.8241  0.8241  0.3183  6 Au 2.65-2.72, 1 Hg 2.94, 2 Ga 2.95
Au  0.4765  0.2004  0.4765  2 Ga 2.65, 5 Au 2.84-2.96
Au  0.5000  0.1371  0.8629  4 Ga 2.66-2.72, 3 Au 2.82-2.86
Ga  0.6817  0.1759  0.1759  6 Au 2.65-2.72, 1 Hg 2.94, 2 Ga 2.95
Au  0.4765  0.4765  0.2004  2 Ga 2.65, 5 Au 2.84-2.96
Au  0.5000  0.8629  0.1371  4 Ga 2.66-2.72, 3 Au 2.82-2.86

***

Record-wise calculated total energy values, in eV/f.u.: -13.202, -9.854, -58.763